Crystalline Co2SiTe at its relaxed geometry, computed with PBEsol.

The structure in POSCAR format:
```
Co2SiTe
1.0
3.329 0.000 0.000
0.000 3.329 0.000
0.000 0.000 4.925
Co Te Si
2 1 1
direct
0.000 0.000 0.968 Co
0.500 0.500 0.304 Co
0.500 0.500 0.801 Te
0.000 0.000 0.427 Si
```

Computed properties:
symmetry: No. 99
total magnetic moment: 0.00 μB/f.u.
uncorrected energy: -6.264 eV per atom
raw formation energy: -0.0772 eV/atom
density: 8.322 g/cm3

***

Crystalline ZrB2O5 at its relaxed geometry, computed with PBEsol.

The structure in POSCAR format:
```
ZrB2O5
1.0
-0.986 -1.533 4.003
1.637 -6.413 -2.052
8.526 1.384 2.478
Zr B O
4 8 20
direct
0.999 0.388 0.829 Zr
0.999 0.112 0.329 Zr
0.001 0.612 0.171 Zr
0.001 0.888 0.671 Zr
0.473 0.271 0.077 B
0.464 0.913 0.166 B
0.473 0.229 0.577 B
0.464 0.587 0.666 B
0.527 0.729 0.923 B
0.536 0.413 0.334 B
0.536 0.087 0.834 B
0.527 0.771 0.423 B
0.348 0.722 0.554 O
0.670 0.605 0.350 O
0.305 0.655 0.808 O
0.670 0.895 0.850 O
0.348 0.778 0.054 O
0.330 0.105 0.150 O
0.652 0.222 0.946 O
0.695 0.155 0.692 O
0.787 0.591 0.680 O
0.695 0.345 0.192 O
0.768 0.903 0.468 O
0.305 0.845 0.308 O
0.768 0.597 0.968 O
0.232 0.403 0.032 O
0.213 0.091 0.820 O
0.787 0.909 0.180 O
0.330 0.395 0.650 O
0.232 0.097 0.532 O
0.652 0.278 0.446 O
0.213 0.409 0.320 O
```

Computed properties:
symmetry: No. 14
total magnetic moment: 0.00 μB/f.u.
uncorrected energy: -9.034 eV per atom
raw formation energy: -2.8632 eV/atom
density: 4.677 g/cm3

***

Crystalline Ba2Mg3 at its relaxed geometry, computed with PBEsol.

The structure in POSCAR format:
```
Ba2Mg3
1.0
3.821 0.000 0.000
1.911 3.309 0.000
1.911 1.103 14.200
Ba Mg
2 3
direct
0.404 0.404 0.789 Ba
0.596 0.596 0.211 Ba
0.000 0.000 0.000 Mg
0.193 0.193 0.421 Mg
0.807 0.807 0.579 Mg
```

Computed properties:
symmetry: No. 166
total magnetic moment: 0.00 μB/f.u.
uncorrected energy: -1.719 eV per atom
ΔE_f: 0.17 eV per atom
density: 3.214 g/cm3